Entry 1:
Crystalline Ca2TmP3Rh4 at its relaxed geometry, computed with PBE-GGA.

abc: 4.0195 4.0195 10.9184
angles: 90.00 90.00 90.00
Closest atoms and distances in Å follow each position.
Fractional coordinates of all 10 atoms:
Ca 0.5000 0.0000 0.2294  8 Rh 3.06-3.21, 4 P 3.07
Ca 0.0000 0.5000 0.7706  8 Rh 3.06-3.21, 4 P 3.07
Tm 0.5000 0.5000 0.5000  4 Rh 2.71, 4 P 2.84
P 0.0000 0.0000 0.5000  4 Rh 2.71, 4 Tm 2.84
P 0.5000 0.0000 0.8759  5 Rh 2.29-2.42
P 0.0000 0.5000 0.1241  5 Rh 2.29-2.42
Rh 0.5000 0.5000 0.0000  4 P 2.42
Rh 0.0000 0.0000 0.0000  4 P 2.42
Rh 0.5000 0.0000 0.6662  1 P 2.29
Rh 0.0000 0.5000 0.3338  1 P 2.29

Summary:
The formation energy is -0.97 eV/atom. The value obtained for the calculated total energy is -63.8 eV for the cell shown. For the density of states at the Fermi level, the calculation gives 0.321 states/eV per atom. As for the space group: P-4m2.

---

Entry 2:
Crystalline Ho2AgSeS3 at its relaxed geometry, computed with PBE-GGA.

abc: 7.9739 7.9739 7.9739
angles: 60.24 60.24 60.24
Closest atoms and distances in Å follow each position.
Fractional coordinates of all 14 atoms:
Ho 0.0000 0.0000 0.0000  6 S 2.74
Ho 0.5000 0.0000 0.0000  4 S 2.72, 2 Se 2.84
Ho 0.0000 0.5000 0.0000  4 S 2.72, 2 Se 2.84
Ho 0.0000 0.0000 0.5000  4 S 2.72, 2 Se 2.84
Ag 0.3885 0.3885 0.3885  3 S 2.55, 1 Se 2.67
Ag 0.6115 0.6115 0.6115  3 S 2.55, 1 Se 2.67
Se 0.7484 0.7484 0.7484  1 Ag 2.67, 3 Ho 2.84
Se 0.2516 0.2516 0.2516  1 Ag 2.67, 3 Ho 2.84
S 0.2222 0.7582 0.7582  1 Ag 2.55, 3 Ho 2.72-2.74
S 0.7582 0.2222 0.7582  1 Ag 2.55, 3 Ho 2.72-2.74
S 0.7582 0.7582 0.2222  1 Ag 2.55, 3 Ho 2.72-2.74
S 0.7778 0.2418 0.2418  1 Ag 2.55, 3 Ho 2.72-2.74
S 0.2418 0.7778 0.2418  1 Ag 2.55, 3 Ho 2.72-2.74
S 0.2418 0.2418 0.7778  1 Ag 2.55, 3 Ho 2.72-2.74

Summary:
As for the formation energy without anion corrections: -928 kJ/mol of formula units. The value obtained for the calculated total energy is -75.0 eV for the cell shown. For the density of states at the Fermi level, the calculation gives 0.572 states/eV per atom. As for the space group: R-3m.

---

Entry 3:
Crystalline LaAg2Mo at its relaxed geometry, computed with PBE-GGA.

abc: 3.7539 3.7539 6.2035
angles: 90.00 90.00 90.00
Closest atoms and distances in Å follow each position.
Fractional coordinates of all 4 atoms:
Ag 0.0000 0.0000 0.9678  1 Ag 2.70, 4 Mo 2.98
Ag 0.0000 0.0000 0.5322  1 Ag 2.70, 4 Mo 2.98
La 0.5000 0.5000 0.2500  2 Mo 3.10, 8 Ag 3.18
Mo 0.5000 0.5000 0.7500  8 Ag 2.98, 2 La 3.10

Summary:
The formation energy is 0.48 eV/atom. The value obtained for the calculated total energy is -19.5 eV for the cell shown. For the density of states at the Fermi level, the calculation gives 1.026 states/eV per atom. As for the space group: P4/mmm. The value obtained for the distance to the lowest polymorph of the same formula is 114 meV per atom.

---

Entry 4:
Crystalline H2PbAu2 at its relaxed geometry, computed with PBE-GGA.

abc: 6.8240 6.8240 3.6139
angles: 90.00 90.00 90.00
Closest atoms and distances in Å follow each position.
Fractional coordinates of all 10 atoms:
Pb 0.0000 0.0000 0.0000  4 H 2.63
Pb 0.5000 0.5000 0.0000  4 H 2.63
H 0.1412 0.6412 0.0000  2 Au 1.81
H 0.6412 0.8588 0.0000  2 Au 1.81
H 0.8588 0.3588 0.0000  2 Au 1.81
H 0.3588 0.1412 0.0000  2 Au 1.81
Au 0.1494 0.6494 0.5000  2 H 1.81
Au 0.6494 0.8506 0.5000  2 H 1.81
Au 0.8506 0.3506 0.5000  2 H 1.81
Au 0.3506 0.1494 0.5000  2 H 1.81

Summary:
The value obtained for the calculated total energy is -32.2 eV for the cell shown. For the density of states at the Fermi level, the calculation gives 0.247 states/eV per atom. As for the space group: P4/mbm. The value obtained for the distance to the lowest polymorph of the same formula is 20 meV per atom.

---

Q: Look up the calculated total energy of the first one.
A: -63.8 eV for the cell shown

---

Q: What is the calculated total energy in the third record?
A: -19.5 eV for the cell shown

---

Copy entry 4 word for word.
Crystalline H2PbAu2 at its relaxed geometry, computed with PBE-GGA.

abc: 6.8240 6.8240 3.6139
angles: 90.00 90.00 90.00
Closest atoms and distances in Å follow each position.
Fractional coordinates of all 10 atoms:
Pb 0.0000 0.0000 0.0000  4 H 2.63
Pb 0.5000 0.5000 0.0000  4 H 2.63
H 0.1412 0.6412 0.0000  2 Au 1.81
H 0.6412 0.8588 0.0000  2 Au 1.81
H 0.8588 0.3588 0.0000  2 Au 1.81
H 0.3588 0.1412 0.0000  2 Au 1.81
Au 0.1494 0.6494 0.5000  2 H 1.81
Au 0.6494 0.8506 0.5000  2 H 1.81
Au 0.8506 0.3506 0.5000  2 H 1.81
Au 0.3506 0.1494 0.5000  2 H 1.81

Summary:
The value obtained for the calculated total energy is -32.2 eV for the cell shown. For the density of states at the Fermi level, the calculation gives 0.247 states/eV per atom. As for the space group: P4/mbm. The value obtained for the distance to the lowest polymorph of the same formula is 20 meV per atom.

---

What did the fourth record say?
Crystalline H2PbAu2 at its relaxed geometry, computed with PBE-GGA.

abc: 6.8240 6.8240 3.6139
angles: 90.00 90.00 90.00
Closest atoms and distances in Å follow each position.
Fractional coordinates of all 10 atoms:
Pb 0.0000 0.0000 0.0000  4 H 2.63
Pb 0.5000 0.5000 0.0000  4 H 2.63
H 0.1412 0.6412 0.0000  2 Au 1.81
H 0.6412 0.8588 0.0000  2 Au 1.81
H 0.8588 0.3588 0.0000  2 Au 1.81
H 0.3588 0.1412 0.0000  2 Au 1.81
Au 0.1494 0.6494 0.5000  2 H 1.81
Au 0.6494 0.8506 0.5000  2 H 1.81
Au 0.8506 0.3506 0.5000  2 H 1.81
Au 0.3506 0.1494 0.5000  2 H 1.81

Summary:
The value obtained for the calculated total energy is -32.2 eV for the cell shown. For the density of states at the Fermi level, the calculation gives 0.247 states/eV per atom. As for the space group: P4/mbm. The value obtained for the distance to the lowest polymorph of the same formula is 20 meV per atom.